FeSiBP | Alexandria via LeMat-Bulk | PBE | optimized geometry; magnetization = 0.9 μB/f.u.; space group = R3m, No. 160; E_tot = -75.704 eV/cell; distance to the lowest polymorph of the same formula = 0.281 eV per atom
1.0
2.8415 0.0000 0.0000
-1.4207 2.4608 0.0000
0.0000 0.0000 18.3897
Fe Si B P
3 3 3 3
Cartesian
0.0000 0.0000 0.0000
0.0000 1.6405 12.2598
1.4208 0.8203 6.1299
0.0000 0.0000 14.0118
0.0000 1.6405 7.8819
1.4208 0.8203 1.7520
0.0000 0.0000 9.3820
0.0000 1.6405 3.2520
1.4208 0.8203 15.5118
0.0000 0.0000 4.4406
0.0000 1.6405 16.7004
1.4208 0.8203 10.5705